Entry 1:
Material: NdGdTcHg
Method: DFT, GGA-PBE
State: optimized geometry Values from VASP.

Values from the calculation:
ΔH_f (0 K): -0.072 eV/atom
space group: F-43m (216)

```
&SYSTEM
  ibrav = 0, nat = 4, ntyp = 4
/
ATOMIC_SPECIES
Nd 144.24 Nd.upf
Gd 157.25 Gd.upf
Tc 98.00 Tc.upf
Hg 200.59 Hg.upf
CELL_PARAMETERS angstrom
0.000 3.636 3.636
3.636 0.000 3.636
3.636 3.636 0.000
ATOMIC_POSITIONS angstrom
Nd 0.000 0.000 0.000
Gd 3.636 3.636 3.636
Tc 1.818 1.818 1.818
Hg 5.454 5.454 5.454
```



Entry 2:
Material: NdGdTlHg
Method: DFT, GGA-PBE
State: optimized geometry Values from VASP.

Values from the calculation:
ΔH_f (0 K): -0.446 eV/atom
space group: F-43m (216)

```
&SYSTEM
  ibrav = 0, nat = 4, ntyp = 4
/
ATOMIC_SPECIES
Nd 144.24 Nd.upf
Gd 157.25 Gd.upf
Tl 204.38 Tl.upf
Hg 200.59 Hg.upf
CELL_PARAMETERS angstrom
0.000 3.834 3.834
3.834 0.000 3.834
3.834 3.834 0.000
ATOMIC_POSITIONS angstrom
Nd 0.000 0.000 0.000
Gd 3.834 3.834 3.834
Tl 5.750 5.750 5.750
Hg 1.917 1.917 1.917
```



Entry 3:
Material: GdNiHg
Method: DFT, GGA-PBE
State: optimized geometry Values from VASP.

Values from the calculation:
ΔH_f (0 K): -0.285 eV/atom
space group: F-43m (216)

```
&SYSTEM
  ibrav = 0, nat = 3, ntyp = 3
/
ATOMIC_SPECIES
Gd 157.25 Gd.upf
Ni 58.69 Ni.upf
Hg 200.59 Hg.upf
CELL_PARAMETERS angstrom
0.000 3.244 3.244
3.244 0.000 3.244
3.244 3.244 0.000
ATOMIC_POSITIONS angstrom
Gd 0.000 0.000 0.000
Ni 4.866 4.866 4.866
Hg 3.244 3.244 3.244
```



Entry 4:
Material: GdNiHg
Method: DFT, GGA-PBE
State: optimized geometry Values from VASP.

Values from the calculation:
ΔH_f (0 K): -0.265 eV/atom
space group: I4mm (107)

```
&SYSTEM
  ibrav = 0, nat = 3, ntyp = 3
/
ATOMIC_SPECIES
Gd 157.25 Gd.upf
Ni 58.69 Ni.upf
Hg 200.59 Hg.upf
CELL_PARAMETERS angstrom
-1.774 1.774 4.918
1.774 -1.774 4.918
1.774 1.774 -4.918
ATOMIC_POSITIONS angstrom
Gd 0.000 0.000 0.000
Ni 0.000 0.000 3.419
Hg 0.000 0.000 6.851
```



| no. | magnetic moment (Bohr magnetons per cell) |
| --- | --- |
| 1 | 7.06 |
| 2 | 8.12 |
| 3 | 7.14 |
| 4 | 7.12 |